A geometry-optimized Ca2LaSi2 structure, computed with GGA-PBE.

Results
The formation energy from raw total energies comes out at -0.33 eV/atom. Its final energy is -4.2887 eV per atom. As for the space group: P4/mbm. Its density of states at the Fermi level is 1.705 states/eV/f.u.

Unit cell a=8.715 b=8.715 c=3.527 alpha=90.00 beta=90.00 gamma=90.00
Atoms (fractional coordinates):
1 Ca 0.131 0.369 0.000
2 Ca 0.369 0.869 0.000
3 Ca 0.631 0.131 0.000
4 Ca 0.869 0.631 0.000
5 La 0.000 0.000 0.500
6 La 0.500 0.500 0.500
7 Si 0.172 0.672 0.500
8 Si 0.328 0.172 0.500
9 Si 0.672 0.828 0.500
10 Si 0.828 0.328 0.500

=====

A geometry-optimized Ca3LaSi8 structure, computed with GGA-PBE.

Results
The formation energy from raw total energies comes out at -0.44 eV/atom. Its final energy is -4.9679 eV per atom. As for the space group: P-4m2. Its density of states at the Fermi level is 3.641 states/eV/f.u.

Unit cell a=4.303 b=4.303 c=13.559 alpha=90.00 beta=90.00 gamma=90.00
Atoms (fractional coordinates):
1 Ca 0.000 0.000 0.000
2 Ca 0.000 0.500 0.753
3 Ca 0.500 0.000 0.247
4 La 0.500 0.500 0.500
5 Si 0.000 0.000 0.415
6 Si 0.000 0.000 0.585
7 Si 0.000 0.500 0.164
8 Si 0.000 0.500 0.334
9 Si 0.500 0.000 0.666
10 Si 0.500 0.000 0.836
11 Si 0.500 0.500 0.085
12 Si 0.500 0.500 0.915

=====

A geometry-optimized CaLaSi3 structure, computed with GGA-PBE.

Results
The formation energy from raw total energies comes out at 0.72 eV/atom. Its final energy is -3.9246 eV per atom. As for the space group: Pm-3m. Its density of states at the Fermi level is 4.402 states/eV/f.u.

Unit cell a=5.448 b=5.448 c=5.448 alpha=90.00 beta=90.00 gamma=90.00
Atoms (fractional coordinates):
1 Ca 0.000 0.000 0.000
2 La 0.500 0.500 0.500
3 Si 0.000 0.500 0.500
4 Si 0.500 0.000 0.500
5 Si 0.500 0.500 0.000

=====

A geometry-optimized CaLaSi4 structure, computed with GGA-PBE.

Results
The formation energy from raw total energies comes out at -0.36 eV/atom. Its final energy is -5.1272 eV per atom. As for the space group: Pbam. Its density of states at the Fermi level is 2.429 states/eV/f.u.

Unit cell a=8.337 b=14.443 c=4.359 alpha=90.00 beta=90.00 gamma=90.00
Atoms (fractional coordinates):
1 Ca 0.140 0.087 0.000
2 Ca 0.360 0.587 0.000
3 Ca 0.640 0.413 0.000
4 Ca 0.860 0.913 0.000
5 La 0.124 0.361 0.000
6 La 0.376 0.861 0.000
7 La 0.624 0.139 0.000
8 La 0.876 0.639 0.000
9 Si 0.027 0.205 0.500
10 Si 0.114 0.941 0.500
11 Si 0.126 0.534 0.500
12 Si 0.188 0.694 0.500
13 Si 0.312 0.194 0.500
14 Si 0.374 0.034 0.500
15 Si 0.386 0.441 0.500
16 Si 0.473 0.705 0.500
17 Si 0.527 0.295 0.500
18 Si 0.614 0.559 0.500
19 Si 0.626 0.966 0.500
20 Si 0.688 0.806 0.500
21 Si 0.812 0.306 0.500
22 Si 0.874 0.466 0.500
23 Si 0.886 0.059 0.500
24 Si 0.973 0.795 0.500

=====

A geometry-optimized CaLaSi3 structure, computed with GGA-PBE.

Results
The formation energy from raw total energies comes out at 0.59 eV/atom. Its final energy is -4.0508 eV per atom. As for the space group: Pm-3m. Its density of states at the Fermi level is 6.569 states/eV/f.u.

Unit cell a=5.117 b=5.117 c=5.117 alpha=90.00 beta=90.00 gamma=90.00
Atoms (fractional coordinates):
1 Ca 0.000 0.000 0.000
2 La 0.500 0.500 0.500
3 Si 0.000 0.000 0.500
4 Si 0.000 0.500 0.000
5 Si 0.500 0.000 0.000

=====

A geometry-optimized CaLaSi4 structure, computed with GGA-PBE.

Results
The formation energy from raw total energies comes out at -0.30 eV/atom. Its final energy is -5.0672 eV per atom. As for the space group: F-43m. Its density of states at the Fermi level is 5.312 states/eV/f.u.

Unit cell a=5.464 b=5.464 c=5.464 alpha=60.00 beta=60.00 gamma=60.00
Atoms (fractional coordinates):
1 Ca 0.000 0.000 0.000
2 La 0.750 0.750 0.750
3 Si 0.370 0.370 0.370
4 Si 0.370 0.370 0.890
5 Si 0.370 0.890 0.370
6 Si 0.890 0.370 0.370

=====

A geometry-optimized Ca3LaSi structure, computed with GGA-PBE.

Results
The formation energy from raw total energies comes out at 1.21 eV/atom. Its final energy is -2.0631 eV per atom. As for the space group: Pm-3m. Its density of states at the Fermi level is 8.026 states/eV/f.u.

Unit cell a=5.711 b=5.711 c=5.711 alpha=90.00 beta=90.00 gamma=90.00
Atoms (fractional coordinates):
1 Ca 0.000 0.000 0.500
2 Ca 0.000 0.500 0.000
3 Ca 0.500 0.000 0.000
4 La 0.000 0.000 0.000
5 Si 0.500 0.500 0.500

=====

A geometry-optimized CaLa2Si structure, computed with GGA-PBE.

Results
The formation energy from raw total energies comes out at -0.14 eV/atom. Its final energy is -4.4630 eV per atom. As for the space group: I-4m2. Its density of states at the Fermi level is 4.809 states/eV/f.u.

Unit cell a=6.120 b=6.120 c=6.120 alpha=134.34 beta=134.34 gamma=66.56
Atoms (fractional coordinates):
1 Ca 0.000 0.000 0.000
2 La 0.250 0.750 0.500
3 La 0.500 0.500 0.000
4 Si 0.750 0.250 0.500

=====

A geometry-optimized Ca2La5Si2 structure, computed with GGA-PBE.

Results
The formation energy from raw total energies comes out at -0.29 eV/atom. Its final energy is -4.6797 eV per atom. As for the space group: Cmce. Its density of states at the Fermi level is 15.113 states/eV/f.u.

Unit cell a=11.033 b=11.033 c=7.806 alpha=90.00 beta=90.00 gamma=41.32
Atoms (fractional coordinates):
1 Ca 0.232 0.232 0.000
2 Ca 0.268 0.268 0.500
3 Ca 0.732 0.732 0.500
4 Ca 0.768 0.768 0.000
5 La 0.000 0.000 0.000
6 La 0.077 0.717 0.678
7 La 0.217 0.577 0.178
8 La 0.283 0.923 0.678
9 La 0.423 0.783 0.178
10 La 0.500 0.500 0.500
11 La 0.577 0.217 0.822
12 La 0.717 0.077 0.322
13 La 0.783 0.423 0.822
14 La 0.923 0.283 0.322
15 Si 0.112 0.888 0.387
16 Si 0.388 0.612 0.887
17 Si 0.612 0.388 0.113
18 Si 0.888 0.112 0.613

=====

A geometry-optimized CaLaV2Si structure, computed with GGA-PBE.

Results
The formation energy from raw total energies comes out at 1.38 eV/atom. Its final energy is -4.7355 eV per atom. As for the space group: P4/mmm. Its density of states at the Fermi level is 7.962 states/eV/f.u.

Unit cell a=4.618 b=4.618 c=5.316 alpha=90.00 beta=90.00 gamma=90.00
Atoms (fractional coordinates):
1 Ca 0.000 0.000 0.000
2 La 0.500 0.500 0.500
3 V 0.000 0.500 0.000
4 V 0.500 0.000 0.000
5 Si 0.000 0.000 0.500

=====

A geometry-optimized CaLa2Zn2Si2 structure, computed with GGA-PBE.

Results
The formation energy from raw total energies comes out at -0.41 eV/atom. Its final energy is -4.0144 eV per atom. As for the space group: R-3m. Its density of states at the Fermi level is 6.730 states/eV/f.u.

Unit cell a=12.218 b=12.218 c=12.218 alpha=19.66 beta=19.66 gamma=19.66
Atoms (fractional coordinates):
1 Ca 0.000 0.000 0.000
2 La 0.118 0.118 0.118
3 La 0.882 0.882 0.882
4 Zn 0.394 0.394 0.394
5 Zn 0.606 0.606 0.606
6 Si 0.273 0.273 0.273
7 Si 0.727 0.727 0.727

=====

A geometry-optimized Ca2La8Sm3 structure, computed with GGA-PBE.

Results
The formation energy from the elements is 0.1603 eV per atom. Its final energy is -4.2690 eV per atom. As for the space group: C2/m. Its density of states at the Fermi level is 19.735 states/eV/f.u.

Unit cell a=10.254 b=10.254 c=6.643 alpha=103.37 beta=103.37 gamma=45.68
Atoms (fractional coordinates):
1 Ca 0.154 0.154 0.275
2 Ca 0.846 0.846 0.725
3 La 0.041 0.041 0.718
4 La 0.105 0.554 0.225
5 La 0.329 0.329 0.719
6 La 0.446 0.895 0.775
7 La 0.554 0.105 0.225
8 La 0.671 0.671 0.281
9 La 0.895 0.446 0.775
10 La 0.959 0.959 0.282
11 Sm 0.302 0.698 0.000
12 Sm 0.500 0.500 0.500
13 Sm 0.698 0.302 0.000